Record 1
Below is a geometry-optimized ZnCr2Pt structure, with properties calculated at the GGA-PBE level.

Unit cell a=5.624 b=4.794 c=2.600 alpha=90.05 beta=62.36 gamma=117.44
Sites, in units of the cell vectors:
Pt: 0.000 0.500 0.500
Cr: 0.500 0.000 0.500
Cr: 0.000 0.000 0.000
Zn: 0.500 0.500 0.000

Results
V in Å³ per cell: 53
Total moment in μB/cell: 0.003
Space group: Cmmm, No. 65
Energy relative to the elements in kJ per mole of atoms: 5

***

Record 2
Below is a geometry-optimized ZnCr4Pt structure, with properties calculated at the GGA-PBE level.

Unit cell a=4.773 b=4.773 c=4.773 alpha=60.00 beta=60.00 gamma=60.00
Sites, in units of the cell vectors:
Cr: 0.372 0.884 0.372
Cr: 0.884 0.372 0.372
Cr: 0.372 0.372 0.372
Cr: 0.372 0.372 0.884
Pt: 0.750 0.750 0.750
Zn: 0.000 0.000 0.000

Results
V in Å³ per cell: 77
Total moment in μB/cell: 0.000
Space group: F-43m, No. 216
Energy relative to the elements in kJ per mole of atoms: 11

***

Record 3
Below is a geometry-optimized ZnCr2Pt structure, with properties calculated at the GGA-PBE level.

Unit cell a=3.105 b=3.105 c=5.746 alpha=90.00 beta=90.00 gamma=90.00
Site moments in Bohr magnetons follow the coordinates.
Sites, in units of the cell vectors:
Pt: 0.000 0.000 0.509  -0.07
Zn: 0.500 0.500 0.754  0.01
Cr: 0.000 0.000 0.016  2.32
Cr: 0.500 0.500 0.222  -2.26

Results
V in Å³ per cell: 55
Total moment in μB/cell: 0.047
Space group: P4mm, No. 99
Energy relative to the elements in kJ per mole of atoms: -11